Computed, not measured: MnBi2Te4 after structural relaxation at the GGA-PBEsol level of DFT.

Calculated values
**Total moment**: 5.0 μB/f.u.
**Uncorrected formation energy**: -0.133 eV per atom
**Mass density**: 7.65 g cm⁻³
**Calculated total energy**: -4.77 eV per atom

Cell and atoms, written as CIF:
```
data_MnBi2Te4
_chemical_formula_sum 'Mn1 Bi2 Te4'
_cell_length_a 4.2748
_cell_length_b 4.2748
_cell_length_c 13.7126
_cell_angle_alpha 81.03
_cell_angle_beta 81.03
_cell_angle_gamma 60.00
_space_group_name_H-M_alt 'P 1'
_space_group_IT_number 1
loop_
_space_group_symop_operation_xyz
'x,y,z'
loop_
_atom_site_label
_atom_site_fract_x
_atom_site_fract_y
_atom_site_fract_z
_atom_site_occupancy
Te1 0.8669 0.8669 0.3992 1
Te2 0.1331 0.1331 0.6008 1
Te3 0.7035 0.7035 0.8896 1
Te4 0.2965 0.2965 0.1104 1
Bi1 0.5772 0.5772 0.2685 1
Bi2 0.4228 0.4228 0.7315 1
Mn1 0.0000 0.0000 0.0000 1
```